1.
The following is a PBE calculation of Ni6Ir3Rh after structural relaxation, from the Alexandria database.

```
Ni6Ir3Rh
1.0
3.9498 0.0000 0.0000
0.0000 12.3915 -1.1200
0.0000 1.1185 4.9784
Ni Ir Rh
12 6 2
direct
0.7500 0.1456 0.5331
0.2500 0.8544 0.4669
0.7500 0.1564 0.0360
0.2500 0.8436 0.9640
0.7500 0.7633 0.7469
0.2500 0.2367 0.2531
0.7500 0.5527 0.3485
0.2500 0.4473 0.6515
0.7500 0.3487 0.9474
0.2500 0.6513 0.0526
0.7500 0.9622 0.3862
0.2500 0.0378 0.6138
0.7500 0.3454 0.4527
0.2500 0.6546 0.5473
0.7500 0.7617 0.2482
0.2500 0.2383 0.7518
0.7500 0.9608 0.8782
0.2500 0.0392 0.1218
0.7500 0.5545 0.8452
0.2500 0.4455 0.1548
```

Results
Symmetry: P2_1/m, No. 11
ΔE_f in eV per atom: 0.09
Calculated volume in Å³/f.u.: 124.3
Energy above the lowest structure with this stoichiometry in eV/atom: 0.000


2.
The following is a PBE calculation of Ni2Ir3Rh4 after structural relaxation, from the Alexandria database.

```
Ni2Ir3Rh4
1.0
2.6162 0.0000 -0.6584
0.2354 7.0613 0.9357
0.4626 4.5800 7.3653
Ni Ir Rh
2 3 4
direct
0.3448 0.1036 0.6896
0.6552 0.8964 0.3104
0.8262 0.4484 0.6524
0.1738 0.5516 0.3476
0.0000 0.0000 0.0000
0.4842 0.3482 0.9684
0.8338 0.8064 0.6676
0.5158 0.6518 0.0316
0.1662 0.1936 0.3324
```

Results
Symmetry: C2/m, No. 12
ΔE_f in eV per atom: 0.12
Calculated volume in Å³/f.u.: 126.3


3.
The following is a PBE calculation of Ni3Ir2Rh3 after structural relaxation, from the Alexandria database.

```
Ni3Ir2Rh3
1.0
-2.0778 1.2533 -3.5747
1.9701 -3.5028 -2.3732
-3.9000 -2.3525 4.0531
Ni Ir Rh
3 2 3
direct
0.6313 0.2014 0.2625
0.5000 0.5000 0.0000
0.3687 0.7986 0.7375
0.2488 0.1751 0.4976
0.7512 0.8249 0.5024
0.1259 0.5776 0.2517
0.8741 0.4224 0.7483
0.0000 0.0000 0.0000
```

Results
Symmetry: C2/m, No. 12
ΔE_f in eV per atom: 0.17
Calculated volume in Å³/f.u.: 108.1
Energy above the lowest structure with this stoichiometry in eV/atom: 0.135


4.
The following is a PBE calculation of NiIrRh6 after structural relaxation, from the Alexandria database.

```
NiIrRh6
1.0
3.8217 0.0000 0.0000
0.0000 3.8217 0.0000
0.0000 0.0000 7.6247
Ni Ir Rh
1 1 6
direct
0.0000 0.0000 0.5000
0.0000 0.0000 0.0000
0.5000 0.5000 0.0000
0.5000 0.5000 0.5000
0.5000 0.0000 0.2516
0.5000 0.0000 0.7484
0.0000 0.5000 0.2516
0.0000 0.5000 0.7484
```

Results
Symmetry: P4/mmm, No. 123
ΔE_f in eV per atom: 0.01
Calculated volume in Å³/f.u.: 111.4
Energy above the lowest structure with this stoichiometry in eV/atom: 0.000


5.
The following is a PBE calculation of Ni2Ir4Rh5 after structural relaxation, from the Alexandria database.

```
Ni2Ir4Rh5
1.0
-1.0508 1.5722 -1.9343
-0.5401 -5.5340 -4.2046
-7.6209 -1.7464 2.7206
Ni Ir Rh
2 4 5
direct
0.0000 0.9225 0.6272
0.0000 0.0775 0.3728
0.5000 0.2462 0.5941
0.5000 0.7915 0.8653
0.5000 0.7538 0.4059
0.5000 0.2085 0.1347
0.0000 0.4411 0.3386
0.0000 0.8614 0.1355
0.0000 0.5000 0.0000
0.0000 0.1386 0.8645
0.0000 0.5589 0.6614
```

Results
Symmetry: P2/m, No. 10
ΔE_f in eV per atom: 0.13
Calculated volume in Å³/f.u.: 156.0


6.
The following is a PBE calculation of NiIrRh3 after structural relaxation, from the Alexandria database.

```
NiIrRh3
1.0
-2.0425 2.1121 -3.6613
-0.3813 -4.1419 -2.1766
-4.2096 -0.6496 1.9737
Ni Ir Rh
1 1 3
direct
0.5000 0.5000 0.5000
0.0000 0.0000 0.0000
0.0000 0.5000 0.0000
0.0000 0.0000 0.5000
0.5000 0.0000 0.0000
```

Results
Symmetry: Pm-3m, No. 221
ΔE_f in eV per atom: 1.64
Calculated volume in Å³/f.u.: 103.5
Energy above the lowest structure with this stoichiometry in eV/atom: 1.621


7.
The following is a PBE calculation of NiIr4Rh2 after structural relaxation, from the Alexandria database.

```
NiIr4Rh2
1.0
-0.9102 4.2061 -3.1674
-3.9641 -1.9090 3.0321
2.3673 5.4059 6.4985
Ni Ir Rh
2 8 4
direct
0.5000 0.5000 0.7500
0.5000 0.5000 0.2500
0.7422 0.4878 0.0000
0.2578 0.5122 0.0000
0.5122 0.2578 0.5000
0.4878 0.7422 0.5000
0.0000 0.5000 0.7474
0.5000 0.0000 0.7526
0.0000 0.5000 0.2526
0.5000 0.0000 0.2474
0.7650 0.0012 0.0000
0.2350 0.9988 0.0000
0.9989 0.2350 0.5000
0.0011 0.7650 0.5000
```

Results
Symmetry: Cccm, No. 66
ΔE_f in eV per atom: 0.41
Calculated volume in Å³/f.u.: 109.2


8.
The following is a PBE calculation of NiIrRh2 after structural relaxation, from the Alexandria database.

```
NiIrRh2
1.0
-1.0151 -0.3601 -2.4400
0.1335 -2.0644 1.6836
-8.2163 2.0142 3.1211
Ir Ni Rh
1 1 2
direct
0.0000 0.0000 0.5094
0.5000 0.5000 0.7500
0.0000 0.0000 0.9908
0.5000 0.5000 0.2498
```

Results
Symmetry: Cmm2, No. 35
ΔE_f in eV per atom: 0.23
Calculated volume in Å³/f.u.: 55.8
Energy above the lowest structure with this stoichiometry in eV/atom: 0.231


9.
The following is a PBE calculation of NiIr2Rh9 after structural relaxation, from the Alexandria database.

```
NiIr2Rh9
1.0
-2.5470 2.5747 1.2566
-2.8209 -2.5476 -0.4977
1.4996 -3.7586 10.7407
Ni Ir Rh
1 2 9
direct
0.0000 0.0000 0.0000
0.0000 0.0000 0.3291
0.0000 0.0000 0.6709
0.5000 0.5000 0.0000
0.5000 0.5000 0.3334
0.5000 0.5000 0.6666
0.5000 0.0000 0.1642
0.5000 0.0000 0.5000
0.5000 0.0000 0.8358
0.0000 0.5000 0.1642
0.0000 0.5000 0.5000
0.0000 0.5000 0.8358
```

Results
Symmetry: P4/mmm, No. 123
ΔE_f in eV per atom: 0.01
Calculated volume in Å³/f.u.: 168.7


10.
The following is a PBE calculation of Ni2Ir3Rh2 after structural relaxation, from the Alexandria database.

```
Ni2Ir3Rh2
1.0
4.3282 0.0000 -0.0390
0.0000 2.5810 0.0000
-2.0172 0.0000 9.0430
Ni Ir Rh
2 3 2
direct
0.4246 0.5000 0.8586
0.5754 0.5000 0.1414
0.2911 0.0000 0.5835
0.0000 0.0000 0.0000
0.7089 0.0000 0.4165
0.1418 0.0000 0.2770
0.8582 0.0000 0.7230
```

Results
Symmetry: P2/m, No. 10
ΔE_f in eV per atom: 0.42
Calculated volume in Å³/f.u.: 100.8
Energy above the lowest structure with this stoichiometry in eV/atom: 0.299


11.
The following is a PBE calculation of Ni2Ir8Rh after structural relaxation, from the Alexandria database.

```
Ni2Ir8Rh
1.0
-2.4354 -2.6453 2.7468
-4.2114 1.0710 -5.1535
5.5667 -3.6574 -1.0378
Ni Ir Rh
2 8 1
direct
0.0000 0.6897 0.3103
0.0000 0.3103 0.6897
0.8438 0.9114 0.6746
0.8438 0.6746 0.9114
0.3013 0.5808 0.5808
0.5000 0.2231 0.7769
0.5000 0.7769 0.2231
0.6987 0.4192 0.4192
0.1562 0.3254 0.0886
0.1562 0.0886 0.3254
0.5000 0.0000 0.0000
```

Results
Symmetry: C2/m, No. 12
ΔE_f in eV per atom: 0.36
Calculated volume in Å³/f.u.: 162.0


12.
The following is a PBE calculation of Ni15Ir2Rh2 after structural relaxation, from the Alexandria database.

```
Ni15Ir2Rh2
1.0
6.0140 -0.4892 1.5162
1.0611 5.9399 1.5162
-0.6351 -0.4892 6.1696
Ni Ir Rh
15 2 2
direct
0.0000 0.5000 0.0000
0.0000 0.0000 0.5000
0.5000 0.0000 0.0000
0.3217 0.0000 0.6783
0.6783 0.3217 0.0000
0.0000 0.6783 0.3217
0.3217 0.6783 0.0000
0.0000 0.3217 0.6783
0.6783 0.0000 0.3217
0.3426 0.8352 0.3426
0.3426 0.3426 0.8352
0.8352 0.3426 0.3426
0.6574 0.1648 0.6574
0.6574 0.6574 0.1648
0.1648 0.6574 0.6574
0.9009 0.9009 0.9009
0.0991 0.0991 0.0991
0.6211 0.6211 0.6211
0.3789 0.3789 0.3789
```

Results
Symmetry: R-3m, No. 166
ΔE_f in eV per atom: 0.19
Calculated volume in Å³/f.u.: 233.5


13.
The following is a PBE calculation of NiIrRh3 after structural relaxation, from the Alexandria database.

```
NiIrRh3
1.0
1.2708 -0.7359 -4.4227
-4.7334 -2.3786 4.7905
-2.7738 6.5003 -0.2540
Ni Ir Rh
2 2 6
direct
0.0606 0.7070 0.9518
0.9394 0.2930 0.0482
0.3567 0.9046 0.6545
0.6433 0.0954 0.3455
0.4570 0.3041 0.5521
0.2501 0.5014 0.7556
0.8395 0.8965 0.1469
0.5430 0.6959 0.4479
0.1605 0.1035 0.8531
0.7499 0.4986 0.2444
```

Results
Symmetry: P-1, No. 2
ΔE_f in eV per atom: 0.02
Calculated volume in Å³/f.u.: 68.6
Energy above the lowest structure with this stoichiometry in eV/atom: 0.000


14.
The following is a PBE calculation of Ni2Ir6Rh after structural relaxation, from the Alexandria database.

```
Ni2Ir6Rh
1.0
2.6211 0.0000 0.6997
0.4892 6.8617 3.4266
-0.6406 0.0019 7.6585
Ni Ir Rh
2 6 1
direct
0.1700 0.3300 0.3300
0.8300 0.6700 0.6700
0.1864 0.6569 0.9703
0.8136 0.3431 0.0297
0.8136 0.0297 0.3431
0.0000 0.2338 0.7662
0.0000 0.7662 0.2338
0.1864 0.9703 0.6569
0.5000 0.5000 0.5000
```

Results
Symmetry: Immm, No. 71
ΔE_f in eV per atom: 0.43
Calculated volume in Å³/f.u.: 140.8
Energy above the lowest structure with this stoichiometry in eV/atom: 0.000


15.
The following is a PBE calculation of NiIrRh2 after structural relaxation, from the Alexandria database.

```
NiIrRh2
1.0
-2.1255 3.3718 -3.3171
0.1161 -1.0279 -5.0813
-1.5496 -1.2807 4.7800
Ir Ni Rh
1 1 2
direct
0.7500 0.2500 0.5000
0.2500 0.7500 0.5000
0.0134 0.0134 0.0000
0.4866 0.4866 0.0000
```

Results
Symmetry: Immm, No. 71
ΔE_f in eV per atom: 0.20
Calculated volume in Å³/f.u.: 54.7
Energy above the lowest structure with this stoichiometry in eV/atom: 0.198


16.
The following is a PBE calculation of Ni3Ir12Rh4 after structural relaxation, from the Alexandria database.

```
Ni3Ir12Rh4
1.0
-7.2236 -1.5792 3.0760
4.2231 -6.7849 -0.5161
3.8452 5.1837 4.7412
Ni Ir Rh
3 12 4
direct
0.5000 0.0000 0.5000
0.5000 0.5000 0.0000
0.0000 0.5000 0.5000
0.6361 0.3564 0.7203
0.3639 0.6436 0.2797
0.3639 0.0843 0.7203
0.3564 0.7203 0.6361
0.7203 0.3639 0.0843
0.2797 0.3639 0.6436
0.0843 0.7203 0.3639
0.2797 0.6361 0.9157
0.6361 0.9157 0.2797
0.6436 0.2797 0.3639
0.7203 0.6361 0.3564
0.9157 0.2797 0.6361
0.0000 0.0000 0.5000
0.5000 0.5000 0.5000
0.5000 0.0000 0.0000
0.0000 0.5000 0.0000
```

Results
Symmetry: Im-3, No. 204
ΔE_f in eV per atom: 0.72
Calculated volume in Å³/f.u.: 395.4


17.
The following is a PBE calculation of Ni2IrRh after structural relaxation, from the Alexandria database.

```
Ni2IrRh
1.0
-0.2519 2.1553 1.5553
-2.0236 -1.1684 1.2913
4.6061 -2.8256 4.6616
Ni Ir Rh
2 1 1
direct
0.0000 0.0000 0.9984
0.0000 0.0000 0.5016
0.5000 0.5000 0.7500
0.5000 0.5000 0.2500
```

Results
Symmetry: P4/mmm, No. 123
ΔE_f in eV per atom: 0.04
Calculated volume in Å³/f.u.: 50.9
Energy above the lowest structure with this stoichiometry in eV/atom: 0.048


18.
The following is a PBE calculation of NiIr2Rh2 after structural relaxation, from the Alexandria database.

```
NiIr2Rh2
1.0
-2.1294 -1.9298 -6.9013
1.6968 -7.1306 1.4704
-2.5450 -0.4195 0.9026
Ni Ir Rh
2 4 4
direct
0.0000 0.0000 0.0000
0.5000 0.5000 0.0000
0.3771 0.8771 0.0000
0.8771 0.6229 0.0000
0.6229 0.1229 0.0000
0.1229 0.3771 0.0000
0.1748 0.6748 0.5000
0.6748 0.8252 0.5000
0.8252 0.3252 0.5000
0.3252 0.1748 0.5000
```

Results
Symmetry: P4/mbm, No. 127
ΔE_f in eV per atom: 0.41
Calculated volume in Å³/f.u.: 76.4
Energy above the lowest structure with this stoichiometry in eV/atom: 0.407


19.
The following is a PBE calculation of NiIrRh2 after structural relaxation, from the Alexandria database.

```
NiIrRh2
1.0
2.7145 0.0000 0.0000
0.0000 2.7145 0.0000
0.0000 0.0000 7.3429
Ni Ir Rh
1 1 2
direct
0.5000 0.5000 0.7484
0.0000 0.0000 0.5113
0.0000 0.0000 0.9885
0.5000 0.5000 0.2519
```

Results
Symmetry: P4mm, No. 99
ΔE_f in eV per atom: 0.03
Calculated volume in Å³/f.u.: 54.1
Energy above the lowest structure with this stoichiometry in eV/atom: 0.025


20.
The following is a PBE calculation of NiIrRh2 after structural relaxation, from the Alexandria database.

```
NiIrRh2
1.0
3.7907 0.0000 0.0000
0.0000 3.7965 0.0000
0.0000 0.0000 3.7965
Ni Ir Rh
1 1 2
direct
0.5000 0.0000 0.5000
0.5000 0.5000 0.0000
0.0000 0.0000 0.0000
0.0000 0.5000 0.5000
```

Results
Symmetry: P4/mmm, No. 123
ΔE_f in eV per atom: 0.06
Calculated volume in Å³/f.u.: 54.6
Energy above the lowest structure with this stoichiometry in eV/atom: 0.055


21.
The following is a PBE calculation of NiIrRh3 after structural relaxation, from the Alexandria database.

```
NiIrRh3
1.0
4.3797 0.0000 0.0000
0.0000 4.3797 0.0000
0.0000 0.0000 4.3797
Ni Ir Rh
1 1 3
direct
0.0000 0.0000 0.0000
0.5000 0.5000 0.5000
0.0000 0.5000 0.0000
0.0000 0.0000 0.5000
0.5000 0.0000 0.0000
```

Results
Symmetry: Pm-3m, No. 221
ΔE_f in eV per atom: 1.39
Calculated volume in Å³/f.u.: 84.0
Energy above the lowest structure with this stoichiometry in eV/atom: 1.369


22.
The following is a PBE calculation of NiIrRh3 after structural relaxation, from the Alexandria database.

```
NiIrRh3
1.0
4.5365 0.0000 0.0000
0.0000 7.0399 0.0000
0.0000 0.0000 9.0313
Ni Ir Rh
4 4 12
direct
0.5000 0.0000 0.0000
0.0000 0.5000 0.5000
0.0000 0.5000 0.0000
0.5000 0.0000 0.5000
0.3924 0.3221 0.2500
0.8924 0.1779 0.7500
0.6076 0.6779 0.7500
0.1076 0.8221 0.2500
0.0077 0.1599 0.0718
0.5077 0.3401 0.5718
0.5077 0.3401 0.9282
0.9923 0.8401 0.5718
0.9923 0.8401 0.9282
0.4923 0.6599 0.4282
0.4923 0.6599 0.0718
0.0077 0.1599 0.4282
0.6224 0.9769 0.2500
0.1224 0.5231 0.7500
0.3776 0.0231 0.7500
0.8776 0.4769 0.2500
```

Results
Symmetry: Pnma, No. 62
ΔE_f in eV per atom: 0.38
Calculated volume in Å³/f.u.: 72.1
Energy above the lowest structure with this stoichiometry in eV/atom: 0.356